As2IrBr: optimized geometry, PBE.

Summary:
Formation energy from raw total energies: 0.13 eV per atom
Relative energy among the computed polymorphs: 312 meV per atom
Electronic total energy: -4.826 eV per atom

Unit cell a=3.160 b=3.160 c=8.135 alpha=90.00 beta=90.00 gamma=90.00
Positions (direct):
As  0.000  0.000  0.182
As  0.000  0.000  0.818
Ir  0.500  0.500  0.000
Br  0.500  0.500  0.500